[1]
DFT (GGA-PBE) results for a geometry-optimized Dy8Y2Sc3 structure.

a = 8.624 Å, b = 8.624 Å, c = 5.914 Å
α = 107.92°, β = 107.92°, γ = 80.87°
Atoms (fractional coordinates):
Dy (0.087, 0.087, 0.267)
Dy (0.112, 0.579, 0.853)
Dy (0.364, 0.364, 0.385)
Dy (0.421, 0.888, 0.147)
Dy (0.579, 0.112, 0.853)
Dy (0.636, 0.636, 0.615)
Dy (0.888, 0.421, 0.147)
Dy (0.913, 0.913, 0.733)
Y (0.181, 0.181, 0.834)
Y (0.819, 0.819, 0.166)
Sc (0.233, 0.767, 0.500)
Sc (0.500, 0.500, 0.000)
Sc (0.767, 0.233, 0.500)

Values from the calculation:
Energy above the lowest structure with this stoichiometry = 0.0 kJ/mol of atoms
Calculated formation energy = 2.6 eV/f.u.
Magnetization = 0.00 μB per cell

=====

[2]
DFT (GGA-PBE) results for a geometry-optimized Cs2URh2S6 structure.

a = 7.327 Å, b = 7.327 Å, c = 7.876 Å
α = 117.81°, β = 117.81°, γ = 59.99°
Atoms (fractional coordinates):
Cs (0.235, 0.235, 0.207)
Cs (0.765, 0.765, 0.793)
U (0.000, 0.000, 0.500)
Rh (0.434, 0.434, 0.803)
Rh (0.566, 0.566, 0.197)
S (0.238, 0.238, 0.727)
S (0.238, 0.751, 0.726)
S (0.249, 0.762, 0.274)
S (0.751, 0.238, 0.726)
S (0.762, 0.249, 0.274)
S (0.762, 0.762, 0.273)

Values from the calculation:
Magnetization = 1.22 μB per cell
Raw formation energy = -767 meV per atom

=====

[3]
DFT (GGA-PBE) results for a geometry-optimized LiDySc2Te4 structure.

a = 7.309 Å, b = 4.204 Å, c = 7.370 Å
α = 90.00°, β = 109.03°, γ = 90.00°
Atoms (fractional coordinates):
Li (0.000, 0.000, 0.000)
Dy (0.500, 0.500, 0.000)
Sc (0.000, 0.500, 0.500)
Sc (0.500, 0.000, 0.500)
Te (0.240, 0.000, 0.742)
Te (0.246, 0.500, 0.255)
Te (0.754, 0.500, 0.745)
Te (0.760, 0.000, 0.258)

Values from the calculation:
Magnetization = 0.00 μB per cell
Raw formation energy = -1208 meV per atom

=====

[4]
DFT (GGA-PBE) results for a geometry-optimized BaSr2GaBi structure.

a = 6.004 Å, b = 6.004 Å, c = 6.110 Å
α = 90.00°, β = 90.00°, γ = 90.00°
Atoms (fractional coordinates):
Ba (0.000, 0.000, 0.000)
Sr (0.000, 0.500, 0.500)
Sr (0.500, 0.000, 0.500)
Ga (0.500, 0.500, 0.500)
Bi (0.500, 0.500, 0.000)

Values from the calculation:
Calculated formation energy = -0.9 eV/f.u.
Magnetization = 0.00 μB per cell

=====

[5]
DFT (GGA-PBE) results for a geometry-optimized CdF8 structure.

a = 5.280 Å, b = 5.280 Å, c = 5.280 Å
α = 101.55°, β = 101.55°, γ = 126.83°
Atoms (fractional coordinates):
Cd (0.000, 0.000, 0.000)
F (0.000, 0.317, 0.317)
F (0.000, 0.683, 0.683)
F (0.317, 0.000, 0.317)
F (0.338, 0.338, 0.676)
F (0.338, 0.662, 0.000)
F (0.662, 0.338, 0.000)
F (0.662, 0.662, 0.324)
F (0.683, 0.000, 0.683)

Values from the calculation:
Magnetization = 6.02 μB per cell
Raw formation energy = -295 meV per atom

=====

[6]
DFT (GGA-PBE) results for a geometry-optimized Dy2NiP2 structure.

a = 5.541 Å, b = 5.541 Å, c = 9.912 Å
α = 110.56°, β = 110.56°, γ = 40.99°
Atoms (fractional coordinates):
Dy (0.092, 0.092, 0.400)
Dy (0.303, 0.303, 0.858)
Dy (0.697, 0.697, 0.142)
Dy (0.908, 0.908, 0.600)
Ni (0.430, 0.430, 0.180)
Ni (0.570, 0.570, 0.820)
P (0.044, 0.044, 0.908)
P (0.347, 0.347, 0.362)
P (0.653, 0.653, 0.638)
P (0.956, 0.956, 0.092)

Values from the calculation:
Calculated formation energy = -6.1 eV/f.u.
Magnetization = 0.00 μB per cell

=====

[7]
DFT (GGA-PBE) results for a geometry-optimized KNiCl structure.

a = 3.958 Å, b = 3.958 Å, c = 9.737 Å
α = 90.00°, β = 90.00°, γ = 120.00°
Atoms (fractional coordinates):
K (0.000, 0.000, 0.000)
K (0.000, 0.000, 0.500)
Ni (0.333, 0.667, 0.250)
Ni (0.667, 0.333, 0.750)
Cl (0.333, 0.667, 0.750)
Cl (0.667, 0.333, 0.250)

Values from the calculation:
Energy above the lowest structure with this stoichiometry = 29.9 kJ/mol of atoms
Magnetization = 0.00 μB per cell
Raw formation energy = -306 meV per atom

=====

[8]
DFT (GGA-PBE) results for a geometry-optimized YFe6Sb2 structure.

a = 6.331 Å, b = 6.331 Å, c = 4.392 Å
α = 90.00°, β = 90.00°, γ = 120.00°
Atoms (fractional coordinates):
Y (0.000, 0.000, 0.000)
Fe (0.000, 0.513, 0.000)
Fe (0.000, 0.769, 0.500)
Fe (0.231, 0.231, 0.500)
Fe (0.487, 0.487, 0.000)
Fe (0.513, 0.000, 0.000)
Fe (0.769, 0.000, 0.500)
Sb (0.333, 0.667, 0.500)
Sb (0.667, 0.333, 0.500)

Values from the calculation:
Magnetization = 13.93 μB per cell
Raw formation energy = 402 meV per atom

=====

[9]
DFT (GGA-PBE) results for a geometry-optimized Sr2ZnHgAu6 structure.

a = 7.115 Å, b = 7.115 Å, c = 9.381 Å
α = 128.97°, β = 128.97°, γ = 45.57°
Atoms (fractional coordinates):
Sr (0.243, 0.243, 0.203)
Sr (0.757, 0.757, 0.797)
Zn (0.000, 0.000, 0.500)
Hg (0.500, 0.500, 0.000)
Au (0.244, 0.743, 0.258)
Au (0.247, 0.247, 0.590)
Au (0.257, 0.756, 0.742)
Au (0.743, 0.244, 0.258)
Au (0.753, 0.753, 0.410)
Au (0.756, 0.257, 0.742)

Values from the calculation:
Calculated formation energy = -4.3 eV/f.u.
Magnetization = 0.00 μB per cell

=====

[10]
DFT (GGA-PBE) results for a geometry-optimized Dy5InIr2 structure.

a = 8.731 Å, b = 8.731 Å, c = 8.731 Å
α = 126.97°, β = 126.97°, γ = 78.30°
Atoms (fractional coordinates):
Dy (0.000, 0.000, 0.000)
Dy (0.027, 0.527, 0.820)
Dy (0.208, 0.027, 0.500)
Dy (0.292, 0.792, 0.820)
Dy (0.473, 0.292, 0.500)
Dy (0.500, 0.500, 0.000)
Dy (0.527, 0.708, 0.500)
Dy (0.708, 0.208, 0.180)
Dy (0.792, 0.973, 0.500)
Dy (0.973, 0.473, 0.180)
In (0.250, 0.250, 0.000)
In (0.750, 0.750, 0.000)
Ir (0.140, 0.360, 0.500)
Ir (0.360, 0.860, 0.221)
Ir (0.640, 0.140, 0.779)
Ir (0.860, 0.640, 0.500)

Values from the calculation:
Calculated formation energy = -5.4 eV/f.u.
Magnetization = 0.00 μB per cell

=====

[11]
DFT (GGA-PBE) results for a geometry-optimized La2BeAs structure.

a = 3.798 Å, b = 3.808 Å, c = 6.896 Å
α = 90.00°, β = 90.00°, γ = 90.00°
Atoms (fractional coordinates):
La (0.000, 0.000, 0.248)
La (0.000, 0.000, 0.752)
Be (0.500, 0.500, 0.500)
As (0.500, 0.500, 0.000)

Values from the calculation:
Energy above the lowest structure with this stoichiometry = 15.5 kJ/mol of atoms
Calculated formation energy = -1.9 eV/f.u.
Magnetization = 0.00 μB per cell

=====

[12]
DFT (GGA-PBE) results for a geometry-optimized AcTcP2Ir structure.

a = 6.414 Å, b = 6.414 Å, c = 6.414 Å
α = 142.75°, β = 142.75°, γ = 53.70°
Atoms (fractional coordinates):
Ac (0.000, 0.000, 0.000)
Tc (0.250, 0.750, 0.500)
P (0.353, 0.353, 0.000)
P (0.647, 0.647, 0.000)
Ir (0.750, 0.250, 0.500)

Values from the calculation:
Calculated formation energy = -4.8 eV/f.u.
Magnetization = 0.00 μB per cell